# PBE LiTcAg2F6, optimized geometry
# electronic total energy = -4.597 eV/atom
data_LiTcAg2F6
_space_group_name_H-M_alt 'P 1'
_space_group_IT_number 1
_space_group_name_Hall 'P 1'
_cell_length_a 5.271
_cell_length_b 5.271
_cell_length_c 10.899
_cell_angle_alpha 90.00
_cell_angle_beta 90.00
_cell_angle_gamma 120.00
loop_
_atom_site_label
_atom_site_type_symbol
_atom_site_fract_x
_atom_site_fract_y
_atom_site_fract_z
Li1 Li 0.333 0.667 0.250
Li2 Li 0.667 0.333 0.750
Tc1 Tc 0.000 0.000 0.250
Tc2 Tc 0.000 0.000 0.750
Ag1 Ag 0.333 0.667 0.525
Ag2 Ag 0.333 0.667 0.975
Ag3 Ag 0.667 0.333 0.025
Ag4 Ag 0.667 0.333 0.475
F1 F 0.036 0.336 0.352
F2 F 0.036 0.700 0.148
F3 F 0.300 0.336 0.148
F4 F 0.300 0.964 0.352
F5 F 0.336 0.036 0.852
F6 F 0.336 0.300 0.648
F7 F 0.664 0.700 0.352
F8 F 0.664 0.964 0.148
F9 F 0.700 0.036 0.648
F10 F 0.700 0.664 0.852
F11 F 0.964 0.300 0.852
F12 F 0.964 0.664 0.648